This record from the Alexandria database describes a relaxed Mo2PtCl crystal. The functional is PBE-GGA.

Cell lengths 2.847, 4.662, 4.915 Å; angles 90.00, 90.00, 90.00 degrees
Positions (direct):
Mo 0.000 0.000 0.000
Mo 0.500 0.000 0.500
Pt 0.000 0.500 0.500
Cl 0.500 0.500 0.000

Results
ρ ... 10.75 g/cm3
Volume ... 65.3 Å³ per cell
Calculated total energy ... -6.671 eV/atom
Raw formation energy ... 0.716 eV/atom